# Hf3CuGe, relaxed, DFT PBE
data_Hf3CuGe
_cell_length_a 4.809
_cell_length_b 4.809
_cell_length_c 4.809
_cell_angle_alpha 90.00
_cell_angle_beta 90.00
_cell_angle_gamma 90.00
_space_group_name_H-M_alt 'P m -3 m'
_space_group_IT_number 221
_space_group_name_Hall '-P 4 2 3'
loop_
_atom_site_label
_atom_site_type_symbol
_atom_site_fract_x
_atom_site_fract_y
_atom_site_fract_z
_atom_site_occupancy
Hf1 Hf 0.000 0.000 0.500 1
Cu1 Cu 0.000 0.000 0.000 1
Ge1 Ge 0.500 0.500 0.500 1
# Energy of formation ... 0.40 eV/atom
# Offset from the most stable computed form ... 695 meV/atom
# DOS at the Fermi energy ... 3.058 states/eV/f.u.
# Size of the total moment ... 0.00 Bohr magnetons per cell